(1)
Compound: Pm4NdHo6
Source: Alexandria
Functional: GGA-PBE
Structure: relaxed

Cell and atoms, written as CIF:
```
data_Pm4NdHo6
_chemical_formula_sum 'Pm4 Nd1 Ho6'
_cell_length_a 11.0043
_cell_length_b 11.0043
_cell_length_c 3.5302
_cell_angle_alpha 90.00
_cell_angle_beta 90.00
_cell_angle_gamma 120.00
_symmetry_space_group_name_H-M 'P -6 m 2'
_symmetry_Int_Tables_number 187
_symmetry_space_group_name_Hall 'P -6 2'
loop_
_atom_site_label
_atom_site_type_symbol
_atom_site_fract_x
_atom_site_fract_y
_atom_site_fract_z
_atom_site_occupancy
Pm1 Pm 0.0000 0.0000 0.0000 1
Pm2 Pm 0.0622 0.5311 0.5000 1
Nd1 Nd 0.6667 0.3333 0.0000 1
Ho1 Ho 0.1628 0.3256 0.0000 1
Ho2 Ho 0.3258 0.1629 0.5000 1
```

Output
Energy of formation = 155 meV per atom
E_tot = -0.165 hartree per atom
Energy above the lowest structure with this stoichiometry = 0.0 meV/atom
Total moment = 0.00 μB/f.u.

=====

(2)
Compound: ZrInSe2
Source: Alexandria
Functional: GGA-PBE
Structure: relaxed

Cell and atoms, written as CIF:
```
data_ZrInSe2
_chemical_formula_sum 'Zr2 In2 Se4'
_cell_length_a 3.631
_cell_length_b 5.755
_cell_length_c 10.628
_cell_angle_alpha 90.00
_cell_angle_beta 90.00
_cell_angle_gamma 90.00
_symmetry_space_group_name_H-M 'I m m m'
_symmetry_Int_Tables_number 71
_symmetry_space_group_name_Hall '-I 2 2'
loop_
_atom_site_label
_atom_site_type_symbol
_atom_site_fract_x
_atom_site_fract_y
_atom_site_fract_z
_atom_site_occupancy
Zr1 Zr 0.000 0.000 0.000 1
In1 In 0.000 0.000 0.500 1
Se1 Se 0.000 0.500 0.321 1
```

Output
E_tot = -0.190 hartree per atom
ΔE_f (raw) = -0.601 eV/atom
Total moment = 0.00 μB/f.u.

=====

(3)
Compound: NaHfSi3
Source: Alexandria
Functional: GGA-PBE
Structure: relaxed

Cell and atoms, written as CIF:
```
data_NaHfSi3
_chemical_formula_sum 'Na1 Hf1 Si3'
_cell_length_a 4.686
_cell_length_b 4.686
_cell_length_c 4.686
_cell_angle_alpha 90.00
_cell_angle_beta 90.00
_cell_angle_gamma 90.00
_symmetry_space_group_name_H-M 'P m -3 m'
_symmetry_Int_Tables_number 221
_symmetry_space_group_name_Hall '-P 4 2 3'
loop_
_atom_site_label
_atom_site_type_symbol
_atom_site_fract_x
_atom_site_fract_y
_atom_site_fract_z
_atom_site_occupancy
Na1 Na 0.000 0.000 0.000 1
Hf1 Hf 0.500 0.500 0.500 1
Si1 Si 0.000 0.000 0.500 1
```

Output
E_tot = -0.152 hartree per atom
ΔE_f (raw) = 1.366 eV/atom
Energy above the lowest structure with this stoichiometry = 919.4 meV/atom
Total moment = 0.00 μB/f.u.

=====

(4)
Compound: CsSrAg2
Source: Alexandria
Functional: GGA-PBE
Structure: relaxed

Cell and atoms, written as CIF:
```
data_CsSrAg2
_chemical_formula_sum 'Cs4 Sr4 Ag8'
_cell_length_a 8.363
_cell_length_b 8.363
_cell_length_c 8.363
_cell_angle_alpha 90.00
_cell_angle_beta 90.00
_cell_angle_gamma 90.00
_symmetry_space_group_name_H-M 'F m -3 m'
_symmetry_Int_Tables_number 225
_symmetry_space_group_name_Hall '-F 4 2 3'
loop_
_atom_site_label
_atom_site_type_symbol
_atom_site_fract_x
_atom_site_fract_y
_atom_site_fract_z
_atom_site_occupancy
Cs1 Cs 0.000 0.000 0.000 1
Sr1 Sr 0.000 0.000 0.500 1
Ag1 Ag 0.250 0.250 0.250 1
```

Output
Energy of formation = 48 meV per atom
E_tot = -0.074 hartree per atom
Energy above the lowest structure with this stoichiometry = 162.7 meV/atom
Total moment = 0.00 μB/f.u.

=====

(5)
Compound: Dy2Y8In
Source: Alexandria
Functional: GGA-PBE
Structure: relaxed

Cell and atoms, written as CIF:
```
data_Dy2Y8In
_chemical_formula_sum 'Dy4 Y16 In2'
_cell_length_a 17.774
_cell_length_b 6.504
_cell_length_c 6.194
_cell_angle_alpha 90.00
_cell_angle_beta 101.56
_cell_angle_gamma 90.00
_symmetry_space_group_name_H-M 'C 1 2/m 1'
_symmetry_Int_Tables_number 12
loop_
_symmetry_equiv_pos_as_xyz
'x,y,z'
'-x,-y,-z'
'-x,y,-z'
'x,-y,z'
'x+1/2,y+1/2,z'
'-x+1/2,-y+1/2,-z'
'-x+1/2,y+1/2,-z'
'x+1/2,-y+1/2,z'
loop_
_atom_site_label
_atom_site_type_symbol
_atom_site_fract_x
_atom_site_fract_y
_atom_site_fract_z
_atom_site_occupancy
Dy1 Dy 0.214 0.000 0.037 1
Y1 Y 0.023 0.000 0.767 1
Y2 Y 0.095 0.500 0.996 1
Y3 Y 0.155 0.250 0.510 1
In1 In 0.000 0.500 0.500 1
```

Output
Energy of formation = 43 meV per atom
E_tot = -0.211 hartree per atom
Energy above the lowest structure with this stoichiometry = 107.0 meV/atom
Total moment = 0.00 μB/f.u.

=====

(6)
Compound: CaMgAl2Ag5
Source: Alexandria
Functional: GGA-PBE
Structure: relaxed

Cell and atoms, written as CIF:
```
data_CaMgAl2Ag5
_chemical_formula_sum 'Ca1 Mg1 Al2 Ag5'
_cell_length_a 4.718
_cell_length_b 4.718
_cell_length_c 8.333
_cell_angle_alpha 90.00
_cell_angle_beta 90.00
_cell_angle_gamma 90.00
_symmetry_space_group_name_H-M 'P 4/m m m'
_symmetry_Int_Tables_number 123
_symmetry_space_group_name_Hall '-P 4 2'
loop_
_atom_site_label
_atom_site_type_symbol
_atom_site_fract_x
_atom_site_fract_y
_atom_site_fract_z
_atom_site_occupancy
Ca1 Ca 0.000 0.000 0.000 1
Mg1 Mg 0.000 0.000 0.500 1
Al1 Al 0.500 0.500 0.349 1
Ag1 Ag 0.000 0.500 0.231 1
Ag2 Ag 0.500 0.500 0.000 1
```

Output
Energy of formation = -53 meV per atom
E_tot = -0.105 hartree per atom
Total moment = 0.00 μB/f.u.